No. 1
## CaSmGaPb (PBE-GGA)

Data for an optimized crystal structure of CaSmGaPb.

```
CaSmGaPb
1.0
7.611 0.000 0.000
0.000 7.611 0.000
0.000 0.000 7.611
Ca Sm Ga Pb
4 4 4 4
direct
0.000 0.000 0.000
0.000 0.500 0.500
0.500 0.000 0.500
0.500 0.500 0.000
0.000 0.000 0.500
0.000 0.500 0.000
0.500 0.000 0.000
0.500 0.500 0.500
0.250 0.250 0.250
0.250 0.750 0.750
0.750 0.250 0.750
0.750 0.750 0.250
0.250 0.250 0.750
0.250 0.750 0.250
0.750 0.250 0.250
0.750 0.750 0.750
```

Values from the calculation:
Space-group type: F-43m (216)
Total moment: 0.0000 μB per atom
Formation energy: -0.44 eV/atom

=====

No. 2
## CaGaSnPb (PBE-GGA)

Data for an optimized crystal structure of CaGaSnPb.

```
CaGaSnPb
1.0
7.622 0.000 0.000
0.000 7.622 0.000
0.000 0.000 7.622
Ca Ga Sn Pb
4 4 4 4
direct
0.000 0.000 0.000
0.000 0.500 0.500
0.500 0.000 0.500
0.500 0.500 0.000
0.250 0.250 0.750
0.250 0.750 0.250
0.750 0.250 0.250
0.750 0.750 0.750
0.250 0.250 0.250
0.250 0.750 0.750
0.750 0.250 0.750
0.750 0.750 0.250
0.000 0.000 0.500
0.000 0.500 0.000
0.500 0.000 0.000
0.500 0.500 0.500
```

Values from the calculation:
Space-group type: F-43m (216)
Total moment: 0.0000 μB per atom
Formation energy: -0.21 eV/atom

=====

No. 3
## SrCaGaPb (PBE-GGA)

Data for an optimized crystal structure of SrCaGaPb.

```
SrCaGaPb
1.0
7.859 0.000 0.000
0.000 7.859 0.000
0.000 0.000 7.859
Sr Ca Ga Pb
4 4 4 4
direct
0.000 0.000 0.000
0.000 0.500 0.500
0.500 0.000 0.500
0.500 0.500 0.000
0.000 0.000 0.500
0.000 0.500 0.000
0.500 0.000 0.000
0.500 0.500 0.500
0.250 0.250 0.750
0.250 0.750 0.250
0.750 0.250 0.250
0.750 0.750 0.750
0.250 0.250 0.250
0.250 0.750 0.750
0.750 0.250 0.750
0.750 0.750 0.250
```

Values from the calculation:
Space-group type: F-43m (216)
Total moment: 0.0000 μB per atom
Formation energy: -0.44 eV/atom

=====

No. 4
## CaTlGa2Pb (PBE-GGA)

Data for an optimized crystal structure of CaTlGa2Pb.

```
CaTlGa2Pb
1.0
5.469 0.000 0.000
0.000 5.469 0.000
0.000 0.000 5.975
Ca Tl Ga Pb
1 1 2 1
direct
0.000 0.000 0.000
0.500 0.500 0.000
0.000 0.500 0.500
0.500 0.000 0.500
0.500 0.500 0.500
```

Values from the calculation:
Space-group type: P4/mmm (123)
Total moment: 0.0000 μB per atom
Formation energy: 0.32 eV/atom

=====

No. 5
## CaVGa2Pb (PBE-GGA)

Data for an optimized crystal structure of CaVGa2Pb.

```
CaVGa2Pb
1.0
4.885 0.000 0.000
0.000 4.885 0.000
0.000 0.000 5.177
Ca V Ga Pb
1 1 2 1
direct
0.000 0.000 0.000
0.500 0.500 0.500
0.000 0.500 0.500
0.500 0.000 0.500
0.500 0.500 0.000
```

Values from the calculation:
Space-group type: P4/mmm (123)
Total moment: 0.0085 μB per atom
Formation energy: -0.03 eV/atom

=====

No. 6
## CaGa2PbW (PBE-GGA)

Data for an optimized crystal structure of CaGa2PbW.

```
CaGa2PbW
1.0
5.378 0.000 0.000
0.000 5.378 0.000
0.000 0.000 5.916
Ca Ga Pb W
1 2 1 1
direct
0.000 0.000 0.000
0.000 0.500 0.500
0.500 0.000 0.500
0.000 0.000 0.500
0.500 0.500 0.000
```

Values from the calculation:
Space-group type: P4/mmm (123)
Total moment: 0.8632 μB per atom
Formation energy: 1.51 eV/atom

=====

Q: Which value of formation energy does entry 2 give?
A: -0.21 eV/atom